(1)
VASP calculation (PBE-GGA) on a geometry-optimized AcAl2ZnPd4 structure.

a = 9.4897 Å, b = 9.4897 Å, c = 9.4897 Å
α = 26.28°, β = 26.28°, γ = 26.28°
Fractional coordinates of all 8 atoms:
Ac: 0.0000 0.0000 0.0000
Al: 0.2322 0.2322 0.2322
Al: 0.7678 0.7678 0.7678
Zn: 0.5000 0.5000 0.5000
Pd: 0.1337 0.1337 0.1337
Pd: 0.4067 0.4067 0.4067
Pd: 0.5933 0.5933 0.5933
Pd: 0.8663 0.8663 0.8663

The total magnetization is 0.00 Bohr magnetons per cell. As for the symmetry: R-3m, No. 166. As for the formation enthalpy at 0 K: -6.3 eV/f.u.

=====

(2)
VASP calculation (PBE-GGA) on a geometry-optimized AcAlZnPd2 structure.

a = 4.2895 Å, b = 4.2895 Å, c = 11.3580 Å
α = 90.00°, β = 90.00°, γ = 90.00°
Fractional coordinates of all 10 atoms:
Ac: 0.0000 0.0000 0.0000
Ac: 0.5000 0.5000 0.5000
Al: 0.0000 0.5000 0.2500
Al: 0.5000 0.0000 0.7500
Zn: 0.0000 0.5000 0.7500
Zn: 0.5000 0.0000 0.2500
Pd: 0.0000 0.0000 0.3764
Pd: 0.0000 0.0000 0.6236
Pd: 0.5000 0.5000 0.1236
Pd: 0.5000 0.5000 0.8764

The total magnetization is 0.00 Bohr magnetons per cell. As for the symmetry: I-4m2, No. 119. As for the formation enthalpy at 0 K: -3.7 eV/f.u.

=====

(3)
VASP calculation (PBE-GGA) on a geometry-optimized AcAlZn2Pd structure.

a = 4.2165 Å, b = 4.4297 Å, c = 11.2901 Å
α = 90.00°, β = 90.00°, γ = 90.00°
Fractional coordinates of all 10 atoms:
Ac: 0.0000 0.0000 0.0000
Ac: 0.5000 0.5000 0.5000
Al: 0.0000 0.5000 0.7520
Al: 0.5000 0.0000 0.2520
Zn: 0.0000 0.0000 0.6152
Zn: 0.0000 0.5000 0.2509
Zn: 0.5000 0.0000 0.7509
Zn: 0.5000 0.5000 0.1152
Pd: 0.0000 0.0000 0.3798
Pd: 0.5000 0.5000 0.8798

The total magnetization is 0.00 Bohr magnetons per cell. As for the symmetry: Imm2, No. 44. As for the formation enthalpy at 0 K: -2.6 eV/f.u.

=====

| no. | DOS(E_F) (states/eV per cell) |
| --- | --- |
| 1 | 2.66 |
| 2 | 3.35 |
| 3 | 6.56 |